1.
Material: NaUInSe4
Method: DFT, PBE
State: optimized geometry

It has space group Imma (No. 74), with a = 8.307 Å, b = 8.539 Å, c = 11.982 Å, α = 90.00°, β = 90.00° and γ = 90.00°. The distinct sites, in fractional coordinates, are Na at (0.000, 0.250, 0.136), U at (0.000, 0.000, 0.500), In at (0.250, 0.250, 0.750), Se at (0.000, 0.032, 0.737) and Se at (0.224, 0.250, 0.504).

The uncorrected formation energy comes out at -0.90 eV/atom.


2.
Material: Ca2MgP2O10
Method: DFT, PBE
State: optimized geometry

It has space group P-1 (No. 2), with a = 5.178 Å, b = 6.156 Å, c = 6.969 Å, α = 73.15°, β = 88.33° and γ = 67.46°. The distinct sites, in fractional coordinates, are Ca at (0.201, 0.210, 0.217), Mg at (0.500, 0.500, 0.500), P at (0.128, 0.189, 0.727), O at (0.070, 0.358, 0.864), O at (0.156, 0.816, 0.337), O at (0.275, 0.272, 0.539), O at (0.275, 0.676, 0.704) and O at (0.326, 0.925, 0.860).

The uncorrected formation energy comes out at -2.12 eV/atom.


3.
Material: SrYCu2Ni
Method: DFT, PBE
State: optimized geometry

It has space group P4/mmm (No. 123), with a = 4.891 Å, b = 4.891 Å, c = 4.700 Å, α = 90.00°, β = 90.00° and γ = 90.00°. The distinct sites, in fractional coordinates, are Sr at (0.000, 0.000, 0.000), Y at (0.500, 0.500, 0.000), Cu at (0.000, 0.500, 0.500) and Ni at (0.500, 0.500, 0.500).

Its calculated formation energy is 0.14 eV per atom.


4.
Material: Sb2RhPb
Method: DFT, PBE
State: optimized geometry

It has space group I-4m2 (No. 119), with a = 4.621 Å, b = 4.621 Å, c = 8.861 Å, α = 90.00°, β = 90.00° and γ = 90.00°. The distinct sites, in fractional coordinates, are Sb at (0.000, 0.000, 0.000), Sb at (0.000, 0.500, 0.250), Rh at (0.000, 0.000, 0.500) and Pb at (0.000, 0.500, 0.750).

The uncorrected formation energy comes out at 0.24 eV/atom.


5.
Material: Ta2TlTc
Method: DFT, PBE
State: optimized geometry

It has space group Fm-3m (No. 225), with a = 6.635 Å, b = 6.635 Å, c = 6.635 Å, α = 90.00°, β = 90.00° and γ = 90.00°. The distinct sites, in fractional coordinates, are Ta at (0.250, 0.250, 0.250), Tl at (0.000, 0.000, 0.000) and Tc at (0.000, 0.000, 0.500).

Its calculated formation energy is 0.52 eV per atom. As for the energy above the lowest structure with this stoichiometry: 351 meV/atom.


6.
Material: BaCaBe2N
Method: DFT, PBE
State: optimized geometry

It has space group P4/mmm (No. 123), with a = 4.873 Å, b = 4.873 Å, c = 7.547 Å, α = 90.00°, β = 90.00° and γ = 90.00°. The distinct sites, in fractional coordinates, are Ba at (0.000, 0.000, 0.000), Ca at (0.000, 0.000, 0.500), Be at (0.000, 0.500, 0.500) and N at (0.500, 0.500, 0.000).

The uncorrected formation energy comes out at 2.14 eV/atom. As for the energy above the lowest structure with this stoichiometry: 700 meV/atom.


7.
Material: Np2S5
Method: DFT, PBE
State: optimized geometry

It has space group Pbcn (No. 60), with a = 7.334 Å, b = 9.913 Å, c = 7.346 Å, α = 90.00°, β = 90.00° and γ = 90.00°. The distinct sites, in fractional coordinates, are Np at (0.238, 0.149, 0.008), S at (0.000, 0.252, 0.750), S at (0.107, 0.399, 0.143) and S at (0.131, 0.105, 0.382).

The uncorrected formation energy comes out at -1.11 eV/atom.


8.
Material: RbBiAu
Method: DFT, PBE
State: optimized geometry

It has space group P-6m2 (No. 187), with a = 4.8618 Å, b = 4.8618 Å, c = 5.5706 Å, α = 90.00°, β = 90.00° and γ = 120.00°. The distinct sites, in fractional coordinates, are Rb at (0.0000, 0.0000, 0.0000), Bi at (0.3333, 0.6667, 0.5000) and Au at (0.6667, 0.3333, 0.5000).

Its calculated formation energy is -0.29 eV per atom. As for the energy above the lowest structure with this stoichiometry: 0 meV/atom.


E in eV/atom, matching the order above: -5.083, -6.519, -4.283, -4.590, -8.585, -1.798, -7.759, -3.000